First-principles (PBE-GGA) data for a geometry-optimized TbZn2PRu2 structure, as listed in the Alexandria database.

Calculated formation energy ... -392 meV per atom
Crystal system ... tetragonal

abc: 4.3760 4.3760 5.5979
angles: 90.00 90.00 90.00
With the nearest neighbours (Å) after each atom.
Space group P4/mmm (No. 123)
Unique sites:
Tb1 0.0000 0.0000 0.0000 (multiplicity 1)  2 P 2.80
Zn1 0.5000 0.5000 0.2201 (multiplicity 2)  1 Zn 2.46, 4 Ru 2.69
P1 0.0000 0.0000 0.5000 (multiplicity 1)  4 Ru 2.19
Ru1 0.0000 0.5000 0.5000 (multiplicity 2)  2 P 2.19